Below is a geometry-optimized AcLaPm2Bi4 structure, with properties calculated at the PBE level.

```
AcLaPm2Bi4
1.0
8.1189 0.0000 0.0000
0.0000 4.6910 0.0000
-2.7049 0.0000 7.6560
Ac La Pm Bi
1 1 2 4
Direct
0.0000 0.0000 0.0000 Ac
0.0000 0.5000 0.5000 La
0.5000 0.0000 0.5000 Pm
0.5000 0.5000 0.0000 Pm
0.2594 0.0000 0.7487 Bi
0.2629 0.5000 0.2589 Bi
0.7371 0.5000 0.7411 Bi
0.7406 0.0000 0.2513 Bi
```

Space-group type   P2/m
E_form   -0.98 eV/atom
Magnetic moment   0.00 μB/f.u.


Below is a geometry-optimized PmAlBr6 structure, with properties calculated at the PBE level.

```
PmAlBr6
1.0
3.3725 -6.8289 0.0000
3.3725 6.8289 0.0000
-1.9515 0.0000 6.4437
Pm Al Br
1 1 6
Direct
0.0000 0.0000 0.0000 Pm
0.5000 0.5000 0.5000 Al
0.1493 0.4160 0.2821 Br
0.2625 0.2625 0.7374 Br
0.4160 0.1493 0.2821 Br
0.5840 0.8507 0.7179 Br
0.7375 0.7375 0.2626 Br
0.8507 0.5840 0.7179 Br
```

Space-group type   C2/m
Magnetic moment   0.00 μB/f.u.
DFT total energy   -3.7033 eV per atom


Below is a geometry-optimized CaLaSc2 structure, with properties calculated at the PBE level.

```
CaLaSc2
1.0
-4.2872 4.2872 3.3466
4.2872 -4.2872 3.3466
4.2872 4.2872 -3.3466
Ca La Sc
2 2 4
Direct
0.0000 0.0000 0.0000 Ca
0.7500 0.2500 0.5000 Ca
0.2500 0.7500 0.5000 La
0.5000 0.5000 0.0000 La
0.1305 0.6250 0.0055 Sc
0.3750 0.3805 0.5055 Sc
0.6195 0.1250 0.9945 Sc
0.8750 0.8695 0.4945 Sc
```

Space-group type   I-42d
E_form   0.48 eV/atom
Magnetic moment   0.00 μB/f.u.
ΔE to the lowest computed polymorph   0.3644 eV per atom